This record from the Alexandria database describes a relaxed SrTa4Pt crystal. The functional is PBE-GGA.

DOS at the Fermi energy ... 6.96 states/eV per cell
Raw total energy ... -0.3194 Ha/atom
Magnetization ... 0.0 μB per cell
Volume ... 125 Å³/cell
Space-group type ... No. 216
Formation enthalpy at 0 K ... 497 meV/atom

abc: 5.6070 5.6070 5.6070
angles: 60.00 60.00 60.00
Closest atoms and distances in Å follow each position.
Atoms (fractional coordinates):
1 Sr 0.0000 0.0000 0.0000  12 Ta 3.28, 4 Pt 3.43
2 Ta 0.1209 0.6264 0.6264  6 Ta 2.77-2.83
3 Ta 0.6264 0.1209 0.6264  6 Ta 2.77-2.83
4 Ta 0.6264 0.6264 0.1209  6 Ta 2.77-2.83
5 Ta 0.6264 0.6264 0.6264  6 Ta 2.77-2.83
6 Pt 0.2500 0.2500 0.2500  12 Ta 3.29, 4 Sr 3.43